Record 1
Density functional theory data (PBE) for an optimized crystal structure of MgCuPb.

The structure belongs to space group F-43m (No. 216); the cell edges are 6.405, 6.405 and 6.405 Å and the angles 90.00°, 90.00° and 90.00°. The inequivalent atoms are Mg at (0.000, 0.000, 0.000), Cu at (0.250, 0.250, 0.250) and Pb at (0.000, 0.000, 0.500).

The calculation puts the energy of formation from the pure elements at -2.34 kJ/mol of atoms. The value obtained for the electronic total energy is -37.888 eV/cell. For the calculated volume, the calculation gives 21.89 A^3/atom.



Record 2
Density functional theory data (PBE) for an optimized crystal structure of TbPmGaHg.

The structure belongs to space group F-43m (No. 216); the cell edges are 7.436, 7.436 and 7.436 Å and the angles 90.00°, 90.00° and 90.00°. The inequivalent atoms are Tb at (0.000, 0.000, 0.000), Pm at (0.000, 0.000, 0.500), Ga at (0.250, 0.250, 0.250) and Hg at (0.250, 0.250, 0.750).

The calculation puts the energy of formation from the pure elements at -48.85 kJ/mol of atoms. The energy above the most stable polymorph in this dataset is 0.023 eV/atom. The value obtained for the electronic total energy is -58.939 eV/cell. For the calculated volume, the calculation gives 25.69 A^3/atom.



Record 3
Density functional theory data (PBE) for an optimized crystal structure of CeMgScAu.

The structure belongs to space group F-43m (No. 216); the cell edges are 7.245, 7.245 and 7.245 Å and the angles 90.00°, 90.00° and 90.00°. The inequivalent atoms are Ce at (0.000, 0.000, 0.000), Mg at (0.250, 0.250, 0.750), Sc at (0.000, 0.000, 0.500) and Au at (0.250, 0.250, 0.250).

The calculation puts the energy of formation from the pure elements at -25.08 kJ/mol of atoms. The value obtained for the electronic total energy is -72.708 eV/cell. For the calculated volume, the calculation gives 23.77 A^3/atom.



Record 4
Density functional theory data (PBE) for an optimized crystal structure of BaCdRe2.

The structure belongs to space group I-42d (No. 122); the cell edges are 8.409, 8.409 and 5.478 Å and the angles 90.00°, 90.00° and 90.00°. The inequivalent atoms are Ba at (0.000, 0.000, 0.000), Cd at (0.000, 0.000, 0.500) and Re at (0.212, 0.250, 0.625).

The calculation puts the energy of formation from the pure elements at 173.19 kJ/mol of atoms. The value obtained for the electronic total energy is -82.216 eV/cell. For the calculated volume, the calculation gives 24.21 A^3/atom.



Record 5
Density functional theory data (PBE) for an optimized crystal structure of Mg5Tl2Zn2.

The structure belongs to space group Cmce (No. 64); the cell edges are 15.312, 7.238 and 7.312 Å and the angles 90.00°, 90.00° and 90.00°. The inequivalent atoms are Mg at (0.000, 0.000, 0.000), Mg at (0.118, 0.172, 0.325), Tl at (0.222, 0.000, 0.000) and Zn at (0.000, 0.126, 0.625).

The calculation puts the energy of formation from the pure elements at -2.95 kJ/mol of atoms. The value obtained for the electronic total energy is -62.115 eV/cell. For the calculated volume, the calculation gives 22.51 A^3/atom.



Record 6
Density functional theory data (PBE) for an optimized crystal structure of Nd7Er3In.

The structure belongs to space group P3m1 (No. 156); the cell edges are 7.0982, 7.0982 and 8.6055 Å and the angles 90.00°, 90.00° and 120.00°. The inequivalent atoms are Nd at (0.0000, 0.0000, 0.0000), Nd at (0.1643, 0.3286, 0.6580), Nd at (0.5024, 0.0048, 0.9924), Er at (0.3334, 0.1667, 0.3290) and In at (0.6667, 0.3333, 0.6476).

The calculation puts the energy of formation from the pure elements at 10.11 kJ/mol of atoms. The value obtained for the electronic total energy is -48.649 eV/cell. For the calculated volume, the calculation gives 34.14 A^3/atom.



Record 7
Density functional theory data (PBE) for an optimized crystal structure of SrCrRe2.

The structure belongs to space group Pmmm (No. 47); the cell edges are 3.151, 4.532 and 5.011 Å and the angles 90.00°, 90.00° and 90.00°. The inequivalent atoms are Sr at (0.000, 0.000, 0.000), Cr at (0.500, 0.500, 0.000), Re at (0.000, 0.500, 0.500) and Re at (0.500, 0.000, 0.500).

The calculation puts the energy of formation from the pure elements at 111.59 kJ/mol of atoms. The energy above the most stable polymorph in this dataset is 0.534 eV/atom. The value obtained for the electronic total energy is -31.575 eV/cell. For the calculated volume, the calculation gives 17.89 A^3/atom.



Record 8
Density functional theory data (PBE) for an optimized crystal structure of Cs6Hg12Pd.

The structure belongs to space group R-3 (No. 148, hexagonal axes); the cell edges are 14.3472, 14.3472 and 13.7479 Å and the angles 90.00°, 90.00° and 120.00°. The inequivalent atoms are Cs at (0.0128, 0.1950, 0.2553), Hg at (0.0439, 0.2204, 0.5342), Hg at (0.0598, 0.8190, 0.0092) and Pd at (0.0000, 0.0000, 0.5000).

The calculation puts the energy of formation from the pure elements at -19.73 kJ/mol of atoms. The value obtained for the electronic total energy is -53.465 eV/cell. For the calculated volume, the calculation gives 43.00 A^3/atom.



Record 9
Density functional theory data (PBE) for an optimized crystal structure of Na2Sn2O3.

The structure belongs to space group I2_13 (No. 199); the cell edges are 7.856, 7.856 and 7.856 Å and the angles 90.00°, 90.00° and 90.00°. The inequivalent atoms are Na at (0.025, 0.025, 0.025), Sn at (0.235, 0.265, 0.735) and O at (0.000, 0.250, 0.299).

For the formation energy (no corrections), the calculation gives -1.40 eV per atom. The value obtained for the electronic total energy is -141.153 eV/cell. For the calculated volume, the calculation gives 17.32 A^3/atom.



Record 10
Density functional theory data (PBE) for an optimized crystal structure of Pr2Pt3Pb.

The structure belongs to space group Fmmm (No. 69); the cell edges are 7.739, 9.399 and 15.939 Å and the angles 90.00°, 90.00° and 90.00°. The inequivalent atoms are Pr at (0.236, 0.000, 0.000), Pr at (0.250, 0.250, 0.250), Pt at (0.000, 0.000, 0.163), Pt at (0.000, 0.246, 0.083) and Pb at (0.000, 0.000, 0.335).

The calculation puts the energy of formation from the pure elements at -75.95 kJ/mol of atoms. The value obtained for the electronic total energy is -288.902 eV/cell. For the calculated volume, the calculation gives 24.15 A^3/atom.



Record 11
Density functional theory data (PBE) for an optimized crystal structure of PmAl2Ni.

The structure belongs to space group P4/mmm (No. 123); the cell edges are 3.100, 3.100 and 7.420 Å and the angles 90.00°, 90.00° and 90.00°. The inequivalent atoms are Pm at (0.000, 0.000, 0.000), Al at (0.500, 0.500, 0.318) and Ni at (0.000, 0.000, 0.500).

The calculation puts the energy of formation from the pure elements at -39.39 kJ/mol of atoms. The energy above the most stable polymorph in this dataset is 0.194 eV/atom. The value obtained for the electronic total energy is -19.650 eV/cell. For the calculated volume, the calculation gives 17.83 A^3/atom.



Record 12
Density functional theory data (PBE) for an optimized crystal structure of Na3PrPb6.

The structure belongs to space group P2_1/m (No. 11); the cell edges are 10.973, 4.844 and 11.273 Å and the angles 90.00°, 93.70° and 90.00°. The inequivalent atoms are Na at (0.052, 0.250, 0.405), Na at (0.153, 0.750, 0.199), Na at (0.248, 0.250, 0.007), Pr at (0.441, 0.250, 0.620), Pb at (0.054, 0.750, 0.893), Pb at (0.139, 0.250, 0.711), Pb at (0.254, 0.750, 0.487), Pb at (0.335, 0.750, 0.808), Pb at (0.343, 0.250, 0.315) and Pb at (0.455, 0.750, 0.088).

The calculation puts the energy of formation from the pure elements at -20.81 kJ/mol of atoms. The value obtained for the electronic total energy is -66.287 eV/cell. For the calculated volume, the calculation gives 29.90 A^3/atom.